No. 1
DFT (PBE) results for an optimized crystal structure of DyNi2As.

The energy of formation from the pure elements comes out at -595 meV per atom. For the volume, the calculation gives 16.49 A^3/atom. The value obtained for the total magnetic moment is 0.00 μB/cell.

The structure belongs to space group P4/nmm (No. 129, origin choice 2); the cell edges are 3.8140, 3.8140 and 9.0681 Å and the angles 90.00°, 90.00° and 90.00°. The asymmetric unit holds Dy at (0.2500, 0.2500, 0.2191), Ni at (0.2500, 0.2500, 0.9212), Ni at (0.2500, 0.7500, 0.5000) and As at (0.2500, 0.2500, 0.6564).

No. 2
DFT (PBE) results for an optimized crystal structure of InHg3Pb6.

Its distance to the lowest polymorph of the same formula is 0 meV/atom. The energy of formation from the pure elements comes out at 29 meV per atom. For the volume, the calculation gives 29.77 A^3/atom. The value obtained for the total magnetic moment is 0.00 μB/cell.

The structure belongs to space group P-1 (No. 2); the cell edges are 3.4602, 12.6770 and 13.7490 Å and the angles 80.88°, 90.00° and 89.70°. The asymmetric unit holds In at (0.2420, 0.4682, 0.2189), Hg at (0.2366, 0.4236, 0.6016), Hg at (0.2409, 0.8800, 0.0011), Hg at (0.2564, 0.0831, 0.4071), Pb at (0.2358, 0.1654, 0.6174), Pb at (0.2441, 0.7569, 0.8056), Pb at (0.2464, 0.3819, 0.9888), Pb at (0.2611, 0.6731, 0.5825), Pb at (0.2615, 0.0005, 0.1963) and Pb at (0.2667, 0.7247, 0.2033).

No. 3
DFT (PBE) results for an optimized crystal structure of Ca2TlGaO4.

As for the uncorrected formation energy: -206.9 kJ per mole of atoms. For the volume, the calculation gives 15.64 A^3/atom. The value obtained for the total magnetic moment is 0.00 μB/cell.

The structure belongs to space group Cmcm (No. 63); the cell edges are 3.3888, 12.4235 and 11.8910 Å and the angles 90.00°, 90.00° and 90.00°. The asymmetric unit holds Ca at (0.0000, 0.1284, 0.0331), Tl at (0.0000, 0.4202, 0.2500), Ga at (0.0000, 0.3139, 0.7500), O at (0.0000, 0.1039, 0.2500), O at (0.0000, 0.2520, 0.6110) and O at (0.0000, 0.5000, 0.0000).

No. 4
DFT (PBE) results for an optimized crystal structure of PuGaAs2.

Its distance to the lowest polymorph of the same formula is 802 meV/atom. The energy of formation from the pure elements comes out at 256 meV per atom. For the volume, the calculation gives 21.61 A^3/atom. The value obtained for the total magnetic moment is 15.94 μB/cell.

The structure belongs to space group R-3m (No. 166, hexagonal axes); the cell edges are 2.9836, 2.9836 and 33.6317 Å and the angles 90.00°, 90.00° and 120.00°. The asymmetric unit holds Pu at (0.0000, 0.0000, 0.0000), Ga at (0.0000, 0.0000, 0.5000) and As at (0.0000, 0.0000, 0.0875).

No. 5
DFT (PBE) results for an optimized crystal structure of V2Pd6Pt.

Its distance to the lowest polymorph of the same formula is 0 meV/atom. The energy of formation from the pure elements comes out at -256 meV per atom. For the volume, the calculation gives 14.85 A^3/atom. The value obtained for the total magnetic moment is 2.29 μB/cell.

The structure belongs to space group C2/m (No. 12); the cell edges are 11.7717, 3.8448 and 6.2128 Å and the angles 90.00°, 108.12° and 90.00°. The asymmetric unit holds V at (0.0564, 0.0000, 0.3303), Pd at (0.1041, 0.5000, 0.6612), Pd at (0.1636, 0.0000, 0.9996), Pd at (0.2182, 0.5000, 0.3379) and Pt at (0.0000, 0.5000, 0.0000).

No. 6
DFT (PBE) results for an optimized crystal structure of PrSeS.

As for the uncorrected formation energy: -161.2 kJ per mole of atoms. Its distance to the lowest polymorph of the same formula is 25 meV/atom. For the volume, the calculation gives 23.65 A^3/atom. The value obtained for the total magnetic moment is 0.00 μB/cell.

The structure belongs to space group I4/mmm (No. 139); the cell edges are 4.0798, 4.0798 and 17.0524 Å and the angles 90.00°, 90.00° and 90.00°. The asymmetric unit holds Pr at (0.0000, 0.0000, 0.1451), Se at (0.0000, 0.5000, 0.0000) and S at (0.0000, 0.0000, 0.3158).

No. 7
DFT (PBE) results for an optimized crystal structure of Sc6Cu2Os.

The energy of formation from the pure elements comes out at -251 meV per atom. For the volume, the calculation gives 19.66 A^3/atom. The value obtained for the total magnetic moment is 0.00 μB/cell.

The structure belongs to space group Immm (No. 71); the cell edges are 8.8128, 8.8159 and 9.1110 Å and the angles 90.00°, 90.00° and 90.00°. The asymmetric unit holds Sc at (0.0000, 0.1772, 0.2416), Sc at (0.1707, 0.5000, 0.2763), Sc at (0.2433, 0.3099, 0.0000), Cu at (0.0000, 0.3575, 0.5000), Cu at (0.1318, 0.0000, 0.0000), Os at (0.0000, 0.0000, 0.5000) and Os at (0.0000, 0.5000, 0.0000).

No. 8
DFT (PBE) results for an optimized crystal structure of Nd3InBi.

The energy of formation from the pure elements comes out at -490 meV per atom. For the volume, the calculation gives 33.48 A^3/atom. The value obtained for the total magnetic moment is 0.00 μB/cell.

The structure belongs to space group C2/c (No. 15); the cell edges are 12.2358, 11.9682 and 9.1449 Å and the angles 90.00°, 90.01° and 90.00°. The asymmetric unit holds Nd at (0.0934, 0.1017, 0.4165), Nd at (0.0940, 0.3984, 0.5835), Nd at (0.2500, 0.1803, 0.8260), In at (0.2495, 0.0496, 0.1348), Bi at (0.0000, 0.1501, 0.7500) and Bi at (0.0000, 0.3505, 0.2500).

No. 9
DFT (PBE) results for an optimized crystal structure of LiCeGdGa.

The energy of formation from the pure elements comes out at -214 meV per atom. For the volume, the calculation gives 24.27 A^3/atom. The value obtained for the total magnetic moment is 26.96 μB/cell.

The structure belongs to space group F-43m (No. 216); the cell edges are 7.2959, 7.2959 and 7.2959 Å and the angles 90.00°, 90.00° and 90.00°. The asymmetric unit holds Li at (0.0000, 0.0000, 0.0000), Ce at (0.2500, 0.2500, 0.7500), Gd at (0.2500, 0.2500, 0.2500) and Ga at (0.0000, 0.0000, 0.5000).

No. 10
DFT (PBE) results for an optimized crystal structure of TaFeRhAu.

The energy of formation from the pure elements comes out at -70 meV per atom. For the volume, the calculation gives 15.24 A^3/atom. The value obtained for the total magnetic moment is 5.14 μB/cell.

The structure belongs to space group F-43m (No. 216); the cell edges are 6.2474, 6.2474 and 6.2474 Å and the angles 90.00°, 90.00° and 90.00°. The asymmetric unit holds Ta at (0.0000, 0.0000, 0.0000), Fe at (0.2500, 0.2500, 0.2500), Rh at (0.2500, 0.2500, 0.7500) and Au at (0.0000, 0.0000, 0.5000).

No. 11
DFT (PBE) results for an optimized crystal structure of LiB2O4.

As for the uncorrected formation energy: -182.6 kJ per mole of atoms. For the volume, the calculation gives 9.08 A^3/atom. The value obtained for the total magnetic moment is 1.60 μB/cell.

The structure belongs to space group I422 (No. 97); the cell edges are 5.5714, 5.5714 and 4.0975 Å and the angles 90.00°, 90.00° and 90.00°. The asymmetric unit holds Li at (0.0000, 0.0000, 0.0000), B at (0.0000, 0.5000, 0.0000) and O at (0.1360, 0.3640, 0.7500).

No. 12
DFT (PBE) results for an optimized crystal structure of KCr3In.

Its distance to the lowest polymorph of the same formula is 908 meV/atom. The energy of formation from the pure elements comes out at 2144 meV per atom. For the volume, the calculation gives 32.98 A^3/atom. The value obtained for the total magnetic moment is 15.22 μB/cell.

The structure belongs to space group Pm-3m (No. 221); the cell edges are 5.4839, 5.4839 and 5.4839 Å and the angles 90.00°, 90.00° and 90.00°. The asymmetric unit holds K at (0.0000, 0.0000, 0.0000), Cr at (0.0000, 0.0000, 0.5000) and In at (0.5000, 0.5000, 0.5000).

Q: What is the total magnetic moment in the twelfth record?
A: 15.22 μB/cell